# 1
A plane-wave DFT calculation with PBE-GGA was carried out for a relaxed RbBi3Pd3 crystal.

Properties
- crystal system = cubic
- symmetry = No. 223
- energy of formation (eV/atom) = -0.123

The structure in extended XYZ format:
```
14
Lattice="-4.502 -5.852 -2.095 -1.811 -1.239 7.355 -5.946 4.809 -0.654" Properties=species:S:1:pos:R:3 pbc="T T T"
Rb -6.130 -1.142 2.303
Rb 0.000 0.000 0.000
Bi -4.099 0.941 -0.851
Bi -2.392 0.583 3.514
Bi -3.610 -3.856 4.469
Bi -6.350 -1.985 -1.898
Bi -5.365 2.987 3.187
Bi -2.704 -3.236 0.791
Pd -3.426 2.094 1.511
Pd -4.332 1.475 5.189
Pd -6.711 0.680 -1.538
Pd -4.282 -5.009 2.106
Pd -3.738 -1.724 -1.211
Pd -2.031 -2.083 3.154
```

***

# 2
A plane-wave DFT calculation with PBE-GGA was carried out for a relaxed Rb3Bi4Pd crystal.

Properties
- crystal system = orthorhombic
- symmetry = No. 59
- energy of formation (eV/atom) = -0.232

The structure in extended XYZ format:
```
16
Lattice="-2.188 -2.554 -5.728 -3.958 -4.698 3.607 -10.597 8.967 0.050" Properties=species:S:1:pos:R:3 pbc="T T T"
Pd -3.460 -4.077 -2.072
Pd -6.006 3.658 -1.827
Bi -12.048 4.660 -0.118
Bi -4.009 -2.143 -0.156
Bi -1.042 -1.236 0.860
Bi -2.967 -3.521 2.614
Bi -10.457 -1.596 -2.907
Bi -8.424 0.817 -4.759
Bi -5.457 1.724 -3.744
Bi -8.015 3.888 -3.732
Rb -1.140 -1.331 -2.985
Rb -8.326 0.911 -0.915
Rb -11.754 2.243 -2.943
Rb -6.456 -2.240 -2.968
Rb -8.308 6.304 -0.907
Rb -3.010 1.821 -0.932
```

***

# 3
A plane-wave DFT calculation with PBE-GGA was carried out for a relaxed RbBiPd2 crystal.

Properties
- crystal system = orthorhombic
- symmetry = No. 59
- energy of formation (eV/atom) = -0.291

The structure in extended XYZ format:
```
8
Lattice="-1.580 1.612 4.216 6.176 -2.741 3.362 3.151 5.819 -1.044" Properties=species:S:1:pos:R:3 pbc="T T T"
Rb 1.200 2.215 -0.397
Rb 4.249 3.039 3.142
Bi 3.483 -0.641 1.550
Bi 1.966 5.895 1.195
Pd 4.022 4.773 -0.317
Pd 7.880 3.061 1.783
Pd 1.427 0.481 3.062
Pd 3.745 -0.547 4.324
```

***

# 4
A plane-wave DFT calculation with PBE-GGA was carried out for a relaxed Rb2BiPd2 crystal.

Properties
- crystal system = tetragonal
- symmetry = No. 127
- energy of formation (eV/atom) = -0.092

The structure in extended XYZ format:
```
10
Lattice="7.209 0.000 0.000 0.000 7.209 0.000 0.000 0.000 5.791" Properties=species:S:1:pos:R:3 pbc="T T T"
Rb 1.280 4.885 2.895
Rb 4.885 5.929 2.895
Rb 5.929 2.325 2.895
Rb 2.325 1.280 2.895
Bi 0.000 0.000 0.000
Bi 3.605 3.605 0.000
Pd 2.644 6.248 0.000
Pd 6.248 4.565 0.000
Pd 4.565 0.961 0.000
Pd 0.961 2.644 0.000
```

***

# 5
A plane-wave DFT calculation with PBE-GGA was carried out for a relaxed Rb2ReBiPd crystal.

Properties
- crystal system = tetragonal
- symmetry = No. 123
- energy of formation (eV/atom) = 1.210

The structure in extended XYZ format:
```
5
Lattice="-6.205 0.749 -1.204 -0.768 -5.074 0.800 -1.061 1.134 6.173" Properties=species:S:1:pos:R:3 pbc="T T T"
Re -4.017 -1.596 2.885
Rb -0.530 0.567 3.087
Rb -3.103 0.375 -0.602
Bi -0.384 -2.537 0.400
Pd 0.000 0.000 0.000
```

***

# 6
A plane-wave DFT calculation with PBE-GGA was carried out for a relaxed RbBiPdSe2 crystal.

Properties
- crystal system = tetragonal
- formation energy (no corrections) (eV per atom) = 0.54
- symmetry = No. 123

The structure in extended XYZ format:
```
5
Lattice="-3.312 -1.393 -4.236 3.923 -3.420 -1.942 -2.622 -5.129 3.737" Properties=species:S:1:pos:R:3 pbc="T T T"
Rb -1.311 -2.564 1.869
Se 1.961 -1.710 -0.971
Se -1.656 -0.697 -2.118
Bi 0.000 0.000 0.000
Pd -1.006 -4.971 -1.220
```

***

# 7
A plane-wave DFT calculation with PBE-GGA was carried out for a relaxed RbSn2BiPd crystal.

Properties
- crystal system = tetragonal
- symmetry = No. 123
- energy of formation (eV/atom) = 1.186

The structure in extended XYZ format:
```
5
Lattice="-1.646 -0.671 -5.764 4.599 -1.848 -1.098 -1.953 -5.578 1.208" Properties=species:S:1:pos:R:3 pbc="T T T"
Rb 0.000 0.000 0.000
Bi 0.500 -4.049 -2.827
Pd 2.299 -0.924 -0.549
Sn -0.977 -2.789 0.604
Sn -0.823 -0.336 -2.882
```

***

# 8
A plane-wave DFT calculation with PBE-GGA was carried out for a relaxed RbTl2BiPd2 crystal.

Properties
- crystal system = tetragonal
- symmetry = No. 123
- energy of formation (eV/atom) = -0.097

The structure in extended XYZ format:
```
6
Lattice="5.241 0.000 0.000 0.000 5.241 0.000 0.000 0.000 7.217" Properties=species:S:1:pos:R:3 pbc="T T T"
Rb 0.000 0.000 3.608
Tl 2.620 2.620 5.525
Tl 2.620 2.620 1.692
Bi 0.000 0.000 0.000
Pd 2.620 0.000 0.000
Pd 0.000 2.620 0.000
```